Here is an optimized crystal structure of MgCdCl2 from the Alexandria database. Energies are from PBE-GGA.

Unit cell a=3.784 b=3.784 c=10.953 alpha=90.00 beta=90.00 gamma=124.35
Atoms (fractional coordinates):
1 Mg 0.000 0.000 0.000
2 Cd 0.000 0.000 0.500
3 Cl 0.500 0.500 0.149
4 Cl 0.500 0.500 0.851

Summary:
E: -10.4 eV per cell
crystal system: orthorhombic
distance to the lowest polymorph of the same formula: 204 meV/atom
M_tot: 0.00 μB per formula unit
E_form (uncorrected): -1.06 eV/atom
SG: Cmmm

---

Here is an optimized crystal structure of Ho2H2SeBr from the Alexandria database. Energies are from PBE-GGA.

Unit cell a=3.776 b=3.776 c=8.527 alpha=90.00 beta=90.00 gamma=120.00
Atoms (fractional coordinates):
1 Ho 0.333 0.667 0.219
2 Ho 0.667 0.333 0.781
3 H 0.333 0.667 0.748
4 H 0.667 0.333 0.252
5 Se 0.000 0.000 0.000
6 Br 0.000 0.000 0.500

Summary:
E: -28.0 eV per cell
crystal system: trigonal
M_tot: 0.00 μB per formula unit
SG: P-3m1

---

Here is an optimized crystal structure of Zn2Hg2Sb from the Alexandria database. Energies are from PBE-GGA.

Unit cell a=7.274 b=7.274 c=7.274 alpha=147.40 beta=147.40 gamma=46.77
Atoms (fractional coordinates):
1 Zn 0.250 0.750 0.500
2 Zn 0.750 0.250 0.500
3 Hg 0.109 0.109 0.000
4 Hg 0.891 0.891 0.000
5 Sb 0.500 0.500 0.000

Summary:
E: -6.3 eV per cell
crystal system: tetragonal
distance to the lowest polymorph of the same formula: 29 meV/atom
M_tot: 0.00 μB per formula unit
E_form (uncorrected): 0.19 eV/atom
SG: I4/mmm

---

Here is an optimized crystal structure of La2TcRu from the Alexandria database. Energies are from PBE-GGA.

Unit cell a=5.024 b=5.024 c=5.024 alpha=60.00 beta=60.00 gamma=60.00
Atoms (fractional coordinates):
1 La 0.250 0.250 0.250
2 La 0.750 0.750 0.750
3 Tc 0.000 0.000 0.000
4 Ru 0.500 0.500 0.500

Summary:
E: -28.8 eV per cell
crystal system: cubic
distance to the lowest polymorph of the same formula: 195 meV/atom
ΔE_f: 0.1839 eV per atom
M_tot: 0.00 μB per formula unit
SG: Fm-3m

---

Here is an optimized crystal structure of PPt from the Alexandria database. Energies are from PBE-GGA.

Unit cell a=5.053 b=5.053 c=5.053 alpha=136.72 beta=136.72 gamma=62.87
Atoms (fractional coordinates):
1 P 0.375 0.625 0.750
2 P 0.625 0.375 0.250
3 Pt 0.125 0.875 0.250
4 Pt 0.875 0.125 0.750

Summary:
E: -22.2 eV per cell
crystal system: tetragonal
ΔE_f: 0.1702 eV per atom
M_tot: 0.00 μB per formula unit
SG: I4_1/amd

---

- What is the M_tot in the third record?
  0.00 μB per formula unit

---

Repeat the first record exactly.
Here is an optimized crystal structure of MgCdCl2 from the Alexandria database. Energies are from PBE-GGA.

Unit cell a=3.784 b=3.784 c=10.953 alpha=90.00 beta=90.00 gamma=124.35
Atoms (fractional coordinates):
1 Mg 0.000 0.000 0.000
2 Cd 0.000 0.000 0.500
3 Cl 0.500 0.500 0.149
4 Cl 0.500 0.500 0.851

Summary:
E: -10.4 eV per cell
crystal system: orthorhombic
distance to the lowest polymorph of the same formula: 204 meV/atom
M_tot: 0.00 μB per formula unit
E_form (uncorrected): -1.06 eV/atom
SG: Cmmm